# 1
VASP calculation (GGA-PBE) on a relaxed CsSrCuSe2 crystal.

**Space-group type**: Cmme (67)
**DOS(E_F)**: 0.000 states/eV per atom
**Raw total energy**: -3.863 eV per atom
**Uncorrected formation energy**: -110.3 kJ per mole of atoms

Cell lengths 5.5499, 8.3688, 9.2756 Å; angles 116.82, 90.00, 90.00 degrees
With the nearest neighbours (Å) after each atom.
Atoms (fractional coordinates):
Cs 0.7606 0.2500 0.5000  4 Se 3.62-3.67
Cs 0.2394 0.7500 0.5000  4 Se 3.62-3.67
Se 0.7452 0.8925 0.7849  1 Cu 2.27
Se 0.2548 0.1075 0.2151  1 Cu 2.27
Se 0.2548 0.3925 0.7849  1 Cu 2.27
Se 0.7452 0.6075 0.2151  1 Cu 2.27
Sr 0.5000 0.7500 0.0000  4 Se 3.07
Sr 0.5000 0.2500 0.0000  4 Se 3.07
Cu 0.0000 0.0000 0.0000  2 Se 2.27
Cu 0.0000 0.5000 0.0000  2 Se 2.27


# 2
VASP calculation (GGA-PBE) on a relaxed Rb2NaTlH crystal.

**Polymorph energy (0 for the lowest one)**: 21 meV/atom
**Space-group type**: P4/mmm (123)
**DOS(E_F)**: 0.512 states/eV per atom
**Raw total energy**: -1.751 eV per atom

Cell lengths 5.8366, 5.8366, 5.5137 Å; angles 90.00, 90.00, 90.00 degrees
With the nearest neighbours (Å) after each atom.
Atoms (fractional coordinates):
Rb 0.0000 0.5000 0.0000  2 H 2.92
Rb 0.5000 0.0000 0.0000  2 H 2.92
Na 0.5000 0.5000 0.5000  8 Rb 4.01, 4 Tl 4.13
Tl 0.0000 0.0000 0.5000  2 H 2.76
H 0.0000 0.0000 0.0000  2 Tl 2.76, 4 Rb 2.92


raw total energy of number 2 (Rb2NaTlH)?
-1.751 eV per atom